[1]
DFT (PBE-GGA) results for an optimized crystal structure of RbNiI.

- Volume: 91 Å³/f.u.
- Calculated density: 4.97 g cm⁻³

abc: 4.3789 4.3789 5.4540
angles: 90.00 90.00 120.00
Space group P-6m2 (No. 187)
Symmetry-distinct sites (fractional):
Rb 0.0000 0.0000 0.0000
Ni 0.6667 0.3333 0.5000
I 0.3333 0.6667 0.5000

[2]
DFT (PBE-GGA) results for an optimized crystal structure of RbNi3I.

- Volume: 114 Å³/f.u.
- Calculated density: 5.68 g cm⁻³

abc: 4.843 4.843 4.843
angles: 90.00 90.00 90.00
Space group Pm-3m (No. 221)
Symmetry-distinct sites (fractional):
Rb 0.000 0.000 0.000
Ni 0.000 0.000 0.500
I 0.500 0.500 0.500

[3]
DFT (PBE-GGA) results for an optimized crystal structure of RbNiI.

- Volume: 106 Å³/f.u.
- Calculated density: 4.26 g cm⁻³

abc: 5.279 10.588 7.563
angles: 90.00 90.00 90.00
Space group Imma (No. 74)
Symmetry-distinct sites (fractional):
Rb 0.000 0.000 0.000
Ni 0.250 0.250 0.250
I 0.000 0.250 0.521

[4]
DFT (PBE-GGA) results for an optimized crystal structure of RbNiI.

- Volume: 118 Å³/f.u.
- Calculated density: 3.82 g cm⁻³

abc: 7.783 7.783 7.783
angles: 90.00 90.00 90.00
Space group F-43m (No. 216)
Symmetry-distinct sites (fractional):
Rb 0.000 0.000 0.000
Ni 0.000 0.000 0.500
I 0.250 0.250 0.250

no.,E above lowest polymorph (eV/atom),formation energy (no corrections) (eV/atom),magnetization (μB per formula unit)
1,0.0979,-0.223,0.0
2,1.1859,1.983,0.1
3,0.0121,-0.308,0.0
4,0.7601,0.440,0.6